No. 1
# AlTeWI2, optimized geometry, DFT PBE
data_AlTeWI2
_symmetry_space_group_name_H-M 'P 4/m m m'
_symmetry_Int_Tables_number 123
_symmetry_space_group_name_Hall '-P 4 2'
_cell_length_a 5.7064
_cell_length_b 5.7064
_cell_length_c 5.2671
_cell_angle_alpha 90.00
_cell_angle_beta 90.00
_cell_angle_gamma 90.00
loop_
_atom_site_label
_atom_site_type_symbol
_atom_site_fract_x
_atom_site_fract_y
_atom_site_fract_z
Al1 Al 0.0000 0.0000 0.0000
Te1 Te 0.5000 0.5000 0.0000
W1 W 0.5000 0.5000 0.5000
I1 I 0.0000 0.5000 0.5000
# Theoretical density, g cm⁻³: 5.73
# Total DFT energy (no corrections), eV/atom: -3.934
# Calculated volume, Å³ per cell: 171.5
# Uncorrected formation energy, eV per atom: 0.65
# M_tot, μB per atom: 0.4619
# Energy relative to the lowest polymorph listed for this composition, meV per atom: 0.0

***

No. 2
# La8ZnGa2, optimized geometry, DFT PBE
data_La8ZnGa2
_symmetry_space_group_name_H-M 'C 1 2/m 1'
_symmetry_Int_Tables_number 12
_cell_length_a 18.7276
_cell_length_b 5.0916
_cell_length_c 7.5084
_cell_angle_alpha 90.00
_cell_angle_beta 109.39
_cell_angle_gamma 90.00
loop_
_symmetry_equiv_pos_as_xyz
'x,y,z'
'-x,-y,-z'
'-x,y,-z'
'x,-y,z'
'x+1/2,y+1/2,z'
'-x+1/2,-y+1/2,-z'
'-x+1/2,y+1/2,-z'
'x+1/2,-y+1/2,z'
loop_
_atom_site_label
_atom_site_type_symbol
_atom_site_fract_x
_atom_site_fract_y
_atom_site_fract_z
La1 La 0.0141 0.0000 0.2628
La2 La 0.0878 0.5000 0.9562
La3 La 0.1648 0.5000 0.4648
La4 La 0.2037 0.0000 0.8059
Zn1 Zn 0.0000 0.5000 0.5000
Ga1 Ga 0.1774 0.0000 0.2012
# Theoretical density, g cm⁻³: 6.47
# Total DFT energy (no corrections), eV/atom: -4.515
# Calculated volume, Å³ per cell: 675.3
# M_tot, μB per atom: 0.0000

***

No. 3
# Tm2SiSbRh6, optimized geometry, DFT PBE
data_Tm2SiSbRh6
_symmetry_space_group_name_H-M 'C 1 2/m 1'
_symmetry_Int_Tables_number 12
_cell_length_a 10.5240
_cell_length_b 6.0835
_cell_length_c 7.3455
_cell_angle_alpha 90.00
_cell_angle_beta 118.41
_cell_angle_gamma 90.00
loop_
_symmetry_equiv_pos_as_xyz
'x,y,z'
'-x,-y,-z'
'-x,y,-z'
'x,-y,z'
'x+1/2,y+1/2,z'
'-x+1/2,-y+1/2,-z'
'-x+1/2,y+1/2,-z'
'x+1/2,-y+1/2,z'
loop_
_atom_site_label
_atom_site_type_symbol
_atom_site_fract_x
_atom_site_fract_y
_atom_site_fract_z
Tm1 Tm 0.2305 0.0000 0.1922
Si1 Si 0.0000 0.5000 0.0000
Sb1 Sb 0.0000 0.0000 0.5000
Rh1 Rh 0.0340 0.2232 0.8249
Rh2 Rh 0.2426 0.5000 0.1761
# Theoretical density, g cm⁻³: 8.87
# Total DFT energy (no corrections), eV/atom: -6.782
# Calculated volume, Å³ per cell: 413.6
# Uncorrected formation energy, eV per atom: -0.52
# M_tot, μB per atom: 0.0000

***

No. 4
# PmAl5Cu2, optimized geometry, DFT PBE
data_PmAl5Cu2
_symmetry_space_group_name_H-M 'I m m m'
_symmetry_Int_Tables_number 71
_symmetry_space_group_name_Hall '-I 2 2'
_cell_length_a 3.9942
_cell_length_b 7.1954
_cell_length_c 9.6613
_cell_angle_alpha 90.00
_cell_angle_beta 90.00
_cell_angle_gamma 90.00
loop_
_atom_site_label
_atom_site_type_symbol
_atom_site_fract_x
_atom_site_fract_y
_atom_site_fract_z
Pm1 Pm 0.0000 0.0000 0.0000
Al1 Al 0.0000 0.1883 0.3486
Al2 Al 0.0000 0.5000 0.0000
Cu1 Cu 0.0000 0.5000 0.2490
# Theoretical density, g cm⁻³: 4.87
# Total DFT energy (no corrections), eV/atom: -4.319
# Calculated volume, Å³ per cell: 277.7
# M_tot, μB per atom: 0.0000

***

No. 5
# SmSbRh3, optimized geometry, DFT PBE
data_SmSbRh3
_symmetry_space_group_name_H-M 'C m c m'
_symmetry_Int_Tables_number 63
_symmetry_space_group_name_Hall '-C 2c 2'
_cell_length_a 5.9330
_cell_length_b 12.5444
_cell_length_c 5.1216
_cell_angle_alpha 90.00
_cell_angle_beta 90.00
_cell_angle_gamma 90.00
loop_
_atom_site_label
_atom_site_type_symbol
_atom_site_fract_x
_atom_site_fract_y
_atom_site_fract_z
Sm1 Sm 0.0000 0.0976 0.2500
Sb1 Sb 0.0000 0.3163 0.7500
Rh1 Rh 0.0000 0.5000 0.0000
Rh2 Rh 0.2262 0.3393 0.2500
# Theoretical density, g cm⁻³: 10.12
# Total DFT energy (no corrections), eV/atom: -6.751
# Calculated volume, Å³ per cell: 381.2
# Uncorrected formation energy, eV per atom: -0.57
# M_tot, μB per atom: 0.0000
# Energy relative to the lowest polymorph listed for this composition, meV per atom: 0.0

***

No. 6
# DyZn2Cd, optimized geometry, DFT PBE
data_DyZn2Cd
_symmetry_space_group_name_H-M 'F m -3 m'
_symmetry_Int_Tables_number 225
_symmetry_space_group_name_Hall '-F 4 2 3'
_cell_length_a 6.8020
_cell_length_b 6.8020
_cell_length_c 6.8020
_cell_angle_alpha 90.00
_cell_angle_beta 90.00
_cell_angle_gamma 90.00
loop_
_atom_site_label
_atom_site_type_symbol
_atom_site_fract_x
_atom_site_fract_y
_atom_site_fract_z
Dy1 Dy 0.0000 0.0000 0.0000
Zn1 Zn 0.2500 0.2500 0.2500
Cd1 Cd 0.0000 0.0000 0.5000
# Theoretical density, g cm⁻³: 8.56
# Total DFT energy (no corrections), eV/atom: -2.313
# Calculated volume, Å³ per cell: 314.7
# M_tot, μB per atom: 0.0000
# Energy relative to the lowest polymorph listed for this composition, meV per atom: 5.5

***

No. 7
# MgAlSnMo2, optimized geometry, DFT PBE
data_MgAlSnMo2
_symmetry_space_group_name_H-M 'P 4/m m m'
_symmetry_Int_Tables_number 123
_symmetry_space_group_name_Hall '-P 4 2'
_cell_length_a 4.7716
_cell_length_b 4.7716
_cell_length_c 4.5899
_cell_angle_alpha 90.00
_cell_angle_beta 90.00
_cell_angle_gamma 90.00
loop_
_atom_site_label
_atom_site_type_symbol
_atom_site_fract_x
_atom_site_fract_y
_atom_site_fract_z
Mg1 Mg 0.0000 0.0000 0.0000
Al1 Al 0.0000 0.0000 0.5000
Sn1 Sn 0.5000 0.5000 0.5000
Mo1 Mo 0.0000 0.5000 0.0000
# Theoretical density, g cm⁻³: 5.75
# Total DFT energy (no corrections), eV/atom: -4.643
# Calculated volume, Å³ per cell: 104.5
# M_tot, μB per atom: 0.6561

***

No. 8
# TbSm2Pt, optimized geometry, DFT PBE
data_TbSm2Pt
_symmetry_space_group_name_H-M 'P n m a'
_symmetry_Int_Tables_number 62
_cell_length_a 7.1307
_cell_length_b 9.8795
_cell_length_c 6.5539
_cell_angle_alpha 90.00
_cell_angle_beta 90.00
_cell_angle_gamma 90.00
loop_
_symmetry_equiv_pos_as_xyz
'x,y,z'
'-x,-y,-z'
'-x+1/2,-y,z+1/2'
'x+1/2,y,-z+1/2'
'x+1/2,-y+1/2,-z+1/2'
'-x+1/2,y+1/2,z+1/2'
'-x,y+1/2,-z'
'x,-y+1/2,z'
loop_
_atom_site_label
_atom_site_type_symbol
_atom_site_fract_x
_atom_site_fract_y
_atom_site_fract_z
Tb1 Tb 0.0291 0.2500 0.1395
Sm1 Sm 0.1809 0.0612 0.6759
Pt1 Pt 0.1148 0.7500 0.4476
# Theoretical density, g cm⁻³: 9.42
# Total DFT energy (no corrections), eV/atom: -5.695
# Calculated volume, Å³ per cell: 461.7
# M_tot, μB per atom: 0.0000
# Energy relative to the lowest polymorph listed for this composition, meV per atom: 0.0

***

No. 9
# Rb4La3MnS8, optimized geometry, DFT PBE
data_Rb4La3MnS8
_symmetry_space_group_name_H-M 'C 1 2/m 1'
_symmetry_Int_Tables_number 12
_cell_length_a 14.4336
_cell_length_b 8.4536
_cell_length_c 9.0622
_cell_angle_alpha 90.00
_cell_angle_beta 122.04
_cell_angle_gamma 90.00
loop_
_symmetry_equiv_pos_as_xyz
'x,y,z'
'-x,-y,-z'
'-x,y,-z'
'x,-y,z'
'x+1/2,y+1/2,z'
'-x+1/2,-y+1/2,-z'
'-x+1/2,y+1/2,-z'
'x+1/2,-y+1/2,z'
loop_
_atom_site_label
_atom_site_type_symbol
_atom_site_fract_x
_atom_site_fract_y
_atom_site_fract_z
Rb1 Rb 0.0000 0.0000 0.0000
Rb2 Rb 0.0000 0.5000 0.0000
Rb3 Rb 0.2500 0.2500 0.0000
La1 La 0.0000 0.0000 0.5000
La2 La 0.2500 0.2500 0.5000
Mn1 Mn 0.0000 0.5000 0.5000
S1 S 0.0151 0.2608 0.3048
S2 S 0.2000 0.5000 0.6751
S3 S 0.2350 0.0000 0.7019
# Theoretical density, g cm⁻³: 3.79
# Total DFT energy (no corrections), eV/atom: -5.345
# Calculated volume, Å³ per cell: 937.3
# Uncorrected formation energy, eV per atom: -1.54
# M_tot, μB per atom: 0.2500

***

No. 10
# CaAlAs2, optimized geometry, DFT PBE
data_CaAlAs2
_symmetry_space_group_name_H-M 'I -4 2 d'
_symmetry_Int_Tables_number 122
_symmetry_space_group_name_Hall 'I -4 2bw'
_cell_length_a 7.2332
_cell_length_b 7.2332
_cell_length_c 7.2056
_cell_angle_alpha 90.00
_cell_angle_beta 90.00
_cell_angle_gamma 90.00
loop_
_atom_site_label
_atom_site_type_symbol
_atom_site_fract_x
_atom_site_fract_y
_atom_site_fract_z
Ca1 Ca 0.0000 0.0000 0.0000
Al1 Al 0.0000 0.0000 0.5000
As1 As 0.1975 0.2500 0.6250
# Theoretical density, g cm⁻³: 3.82
# Total DFT energy (no corrections), eV/atom: -4.356
# Calculated volume, Å³ per cell: 377.0
# M_tot, μB per atom: 0.0000
# Energy relative to the lowest polymorph listed for this composition, meV per atom: 20.9

***

No. 11
# Hf3TiFe, optimized geometry, DFT PBE
data_Hf3TiFe
_symmetry_space_group_name_H-M 'P m -3 m'
_symmetry_Int_Tables_number 221
_symmetry_space_group_name_Hall '-P 4 2 3'
_cell_length_a 4.7942
_cell_length_b 4.7942
_cell_length_c 4.7942
_cell_angle_alpha 90.00
_cell_angle_beta 90.00
_cell_angle_gamma 90.00
loop_
_atom_site_label
_atom_site_type_symbol
_atom_site_fract_x
_atom_site_fract_y
_atom_site_fract_z
Hf1 Hf 0.0000 0.0000 0.5000
Ti1 Ti 0.0000 0.0000 0.0000
Fe1 Fe 0.5000 0.5000 0.5000
# Theoretical density, g cm⁻³: 9.63
# Total DFT energy (no corrections), eV/atom: -7.855
# Calculated volume, Å³ per cell: 110.2
# M_tot, μB per atom: 0.0001
# Energy relative to the lowest polymorph listed for this composition, meV per atom: 1330.2

***

No. 12
# TiAlGeAu2, optimized geometry, DFT PBE
data_TiAlGeAu2
_symmetry_space_group_name_H-M 'P 4/m m m'
_symmetry_Int_Tables_number 123
_symmetry_space_group_name_Hall '-P 4 2'
_cell_length_a 4.7464
_cell_length_b 4.7464
_cell_length_c 4.7685
_cell_angle_alpha 90.00
_cell_angle_beta 90.00
_cell_angle_gamma 90.00
loop_
_atom_site_label
_atom_site_type_symbol
_atom_site_fract_x
_atom_site_fract_y
_atom_site_fract_z
Ti1 Ti 0.0000 0.0000 0.0000
Al1 Al 0.5000 0.5000 0.5000
Ge1 Ge 0.5000 0.5000 0.0000
Au1 Au 0.0000 0.5000 0.5000
# Theoretical density, g cm⁻³: 8.37
# Total DFT energy (no corrections), eV/atom: -4.057
# Calculated volume, Å³ per cell: 107.4
# M_tot, μB per atom: 0.0000
# Energy relative to the lowest polymorph listed for this composition, meV per atom: 87.9